1.
The following is a DFT calculation (PBE) of a relaxed structure of TbCeO4.

Geometry as CIF:
```
data_TbCeO4
_space_group_name_H-M_alt 'P 1'
_space_group_IT_number 1
_cell_length_a 3.815
_cell_length_b 5.600
_cell_length_c 7.649
_cell_angle_alpha 90.00
_cell_angle_beta 94.57
_cell_angle_gamma 90.00
loop_
_space_group_symop_operation_xyz
'x,y,z'
loop_
_atom_site_label
_atom_site_fract_x
_atom_site_fract_y
_atom_site_fract_z
_atom_site_occupancy
Tb1 0.226 0.250 0.127 1
Tb2 0.774 0.750 0.873 1
Ce1 0.268 0.250 0.624 1
Ce2 0.732 0.750 0.376 1
O1 0.233 0.503 0.374 1
O2 0.233 0.997 0.374 1
O3 0.276 0.002 0.881 1
O4 0.276 0.498 0.881 1
O5 0.724 0.502 0.119 1
O6 0.724 0.998 0.119 1
O7 0.767 0.003 0.626 1
O8 0.767 0.497 0.626 1
```

---

2.
The following is a DFT calculation (PBE) of a relaxed structure of TbCe3O.

Geometry as CIF:
```
data_TbCe3O
_space_group_name_H-M_alt 'P 1'
_space_group_IT_number 1
_cell_length_a 4.940
_cell_length_b 4.940
_cell_length_c 4.940
_cell_angle_alpha 90.00
_cell_angle_beta 90.00
_cell_angle_gamma 90.00
loop_
_space_group_symop_operation_xyz
'x,y,z'
loop_
_atom_site_label
_atom_site_fract_x
_atom_site_fract_y
_atom_site_fract_z
_atom_site_occupancy
Tb1 0.000 0.000 0.000 1
Ce1 0.000 0.500 0.500 1
Ce2 0.500 0.000 0.500 1
Ce3 0.500 0.500 0.000 1
O1 0.500 0.500 0.500 1
```

---

3.
The following is a DFT calculation (PBE) of a relaxed structure of TbCe3O8.

Geometry as CIF:
```
data_TbCe3O8
_space_group_name_H-M_alt 'P 1'
_space_group_IT_number 1
_cell_length_a 6.686
_cell_length_b 6.686
_cell_length_c 6.686
_cell_angle_alpha 131.79
_cell_angle_beta 131.79
_cell_angle_gamma 70.56
loop_
_space_group_symop_operation_xyz
'x,y,z'
loop_
_atom_site_label
_atom_site_fract_x
_atom_site_fract_y
_atom_site_fract_z
_atom_site_occupancy
Tb1 0.000 0.000 0.000 1
Ce1 0.250 0.750 0.500 1
Ce2 0.500 0.500 0.000 1
Ce3 0.750 0.250 0.500 1
O1 0.126 0.126 0.504 1
O2 0.126 0.622 0.000 1
O3 0.378 0.378 0.504 1
O4 0.378 0.874 0.000 1
O5 0.622 0.126 0.000 1
O6 0.622 0.622 0.496 1
O7 0.874 0.378 0.000 1
O8 0.874 0.874 0.496 1
```

---

4.
The following is a DFT calculation (PBE) of a relaxed structure of TbCeO4.

Geometry as CIF:
```
data_TbCeO4
_space_group_name_H-M_alt 'P 1'
_space_group_IT_number 1
_cell_length_a 7.728
_cell_length_b 7.728
_cell_length_c 7.728
_cell_angle_alpha 60.00
_cell_angle_beta 60.00
_cell_angle_gamma 60.00
loop_
_space_group_symop_operation_xyz
'x,y,z'
loop_
_atom_site_label
_atom_site_fract_x
_atom_site_fract_y
_atom_site_fract_z
_atom_site_occupancy
Tb1 0.125 0.125 0.125 1
Tb2 0.125 0.125 0.626 1
Tb3 0.125 0.626 0.125 1
Tb4 0.626 0.125 0.125 1
Ce1 0.125 0.625 0.625 1
Ce2 0.625 0.125 0.625 1
Ce3 0.625 0.625 0.125 1
Ce4 0.625 0.625 0.625 1
O1 0.000 0.000 0.000 1
O2 0.250 0.250 0.250 1
O3 0.253 0.253 0.747 1
O4 0.253 0.747 0.253 1
O5 0.253 0.747 0.747 1
O6 0.500 0.500 0.500 1
O7 0.503 0.503 0.997 1
O8 0.503 0.997 0.503 1
O9 0.503 0.997 0.997 1
O10 0.747 0.253 0.253 1
O11 0.747 0.253 0.747 1
O12 0.747 0.747 0.253 1
O13 0.750 0.750 0.750 1
O14 0.997 0.503 0.503 1
O15 0.997 0.503 0.997 1
O16 0.997 0.997 0.503 1
```

---

5.
# PBE TbCeO2, relaxed
# E above lowest polymorph, eV per formula unit: 0.00
data_TbCeO2
_space_group_name_H-M_alt 'P 1'
_space_group_IT_number 1
_cell_length_a 6.109
_cell_length_b 6.109
_cell_length_c 6.109
_cell_angle_alpha 32.77
_cell_angle_beta 32.77
_cell_angle_gamma 32.77
loop_
_space_group_symop_operation_xyz
'x,y,z'
loop_
_atom_site_label
_atom_site_fract_x
_atom_site_fract_y
_atom_site_fract_z
_atom_site_occupancy
Tb1 0.000 0.000 0.000 1
Ce1 0.500 0.500 0.500 1
O1 0.258 0.258 0.258 1
O2 0.742 0.742 0.742 1

---

6.
The following is a DFT calculation (PBE) of a relaxed structure of TbCeO4.

Geometry as CIF:
```
data_TbCeO4
_space_group_name_H-M_alt 'P 1'
_space_group_IT_number 1
_cell_length_a 3.847
_cell_length_b 3.847
_cell_length_c 5.509
_cell_angle_alpha 90.00
_cell_angle_beta 90.00
_cell_angle_gamma 90.00
loop_
_space_group_symop_operation_xyz
'x,y,z'
loop_
_atom_site_label
_atom_site_fract_x
_atom_site_fract_y
_atom_site_fract_z
_atom_site_occupancy
Tb1 0.000 0.000 0.000 1
Ce1 0.500 0.500 0.500 1
O1 0.000 0.500 0.253 1
O2 0.000 0.500 0.747 1
O3 0.500 0.000 0.253 1
O4 0.500 0.000 0.747 1
```

---

7.
The following is a DFT calculation (PBE) of a relaxed structure of TbCe3O6.

Geometry as CIF:
```
data_TbCe3O6
_space_group_name_H-M_alt 'P 1'
_space_group_IT_number 1
_cell_length_a 6.981
_cell_length_b 6.981
_cell_length_c 6.981
_cell_angle_alpha 91.66
_cell_angle_beta 91.66
_cell_angle_gamma 91.66
loop_
_space_group_symop_operation_xyz
'x,y,z'
loop_
_atom_site_label
_atom_site_fract_x
_atom_site_fract_y
_atom_site_fract_z
_atom_site_occupancy
Tb1 0.000 0.000 0.000 1
Tb2 0.500 0.500 0.500 1
Ce1 0.051 0.752 0.562 1
Ce2 0.248 0.438 0.949 1
Ce3 0.438 0.949 0.248 1
Ce4 0.562 0.051 0.752 1
Ce5 0.752 0.562 0.051 1
Ce6 0.949 0.248 0.438 1
O1 0.033 0.688 0.902 1
O2 0.098 0.967 0.312 1
O3 0.188 0.436 0.591 1
O4 0.312 0.098 0.967 1
O5 0.409 0.812 0.564 1
O6 0.436 0.591 0.188 1
O7 0.564 0.409 0.812 1
O8 0.591 0.188 0.436 1
O9 0.688 0.902 0.033 1
O10 0.812 0.564 0.409 1
O11 0.902 0.033 0.688 1
O12 0.967 0.312 0.098 1
```

---

8.
The following is a DFT calculation (PBE) of a relaxed structure of Tb3CeO.

Geometry as CIF:
```
data_Tb3CeO
_space_group_name_H-M_alt 'P 1'
_space_group_IT_number 1
_cell_length_a 4.945
_cell_length_b 4.945
_cell_length_c 4.945
_cell_angle_alpha 90.00
_cell_angle_beta 90.00
_cell_angle_gamma 90.00
loop_
_space_group_symop_operation_xyz
'x,y,z'
loop_
_atom_site_label
_atom_site_fract_x
_atom_site_fract_y
_atom_site_fract_z
_atom_site_occupancy
Tb1 0.000 0.000 0.500 1
Tb2 0.000 0.500 0.000 1
Tb3 0.500 0.000 0.000 1
Ce1 0.500 0.500 0.500 1
O1 0.000 0.000 0.000 1
```

---

9.
The following is a DFT calculation (PBE) of a relaxed structure of TbCeO4.

Geometry as CIF:
```
data_TbCeO4
_space_group_name_H-M_alt 'P 1'
_space_group_IT_number 1
_cell_length_a 6.565
_cell_length_b 6.565
_cell_length_c 6.565
_cell_angle_alpha 129.73
_cell_angle_beta 129.73
_cell_angle_gamma 73.83
loop_
_space_group_symop_operation_xyz
'x,y,z'
loop_
_atom_site_label
_atom_site_fract_x
_atom_site_fract_y
_atom_site_fract_z
_atom_site_occupancy
Tb1 0.375 0.625 0.750 1
Tb2 0.625 0.375 0.250 1
Ce1 0.125 0.875 0.250 1
Ce2 0.875 0.125 0.750 1
O1 0.000 0.247 0.247 1
O2 0.000 0.753 0.753 1
O3 0.247 0.000 0.747 1
O4 0.247 0.500 0.247 1
O5 0.500 0.247 0.747 1
O6 0.500 0.753 0.253 1
O7 0.753 0.000 0.253 1
O8 0.753 0.500 0.753 1
```

---

10.
The following is a DFT calculation (PBE) of a relaxed structure of TbCeO4.

Geometry as CIF:
```
data_TbCeO4
_space_group_name_H-M_alt 'P 1'
_space_group_IT_number 1
_cell_length_a 5.154
_cell_length_b 5.154
_cell_length_c 3.618
_cell_angle_alpha 90.00
_cell_angle_beta 90.00
_cell_angle_gamma 90.83
loop_
_space_group_symop_operation_xyz
'x,y,z'
loop_
_atom_site_label
_atom_site_fract_x
_atom_site_fract_y
_atom_site_fract_z
_atom_site_occupancy
Tb1 0.000 0.000 0.000 1
Ce1 0.500 0.500 0.500 1
O1 0.195 0.195 0.500 1
O2 0.312 0.688 0.000 1
O3 0.688 0.312 0.000 1
O4 0.805 0.805 0.500 1
```

---

11.
# PBE TbCeO2, relaxed
# E above lowest polymorph, eV per formula unit: 0.69
data_TbCeO2
_space_group_name_H-M_alt 'P 1'
_space_group_IT_number 1
_cell_length_a 6.405
_cell_length_b 6.405
_cell_length_c 6.405
_cell_angle_alpha 31.00
_cell_angle_beta 31.00
_cell_angle_gamma 31.00
loop_
_space_group_symop_operation_xyz
'x,y,z'
loop_
_atom_site_label
_atom_site_fract_x
_atom_site_fract_y
_atom_site_fract_z
_atom_site_occupancy
Tb1 0.000 0.000 0.000 1
Ce1 0.824 0.824 0.824 1
O1 0.401 0.401 0.401 1
O2 0.591 0.591 0.591 1

---

12.
The following is a DFT calculation (PBE) of a relaxed structure of Tb3CeO6.

Geometry as CIF:
```
data_Tb3CeO6
_space_group_name_H-M_alt 'P 1'
_space_group_IT_number 1
_cell_length_a 6.851
_cell_length_b 6.851
_cell_length_c 6.851
_cell_angle_alpha 91.28
_cell_angle_beta 91.28
_cell_angle_gamma 91.28
loop_
_space_group_symop_operation_xyz
'x,y,z'
loop_
_atom_site_label
_atom_site_fract_x
_atom_site_fract_y
_atom_site_fract_z
_atom_site_occupancy
Tb1 0.052 0.751 0.561 1
Tb2 0.249 0.439 0.948 1
Tb3 0.439 0.948 0.249 1
Tb4 0.561 0.052 0.751 1
Tb5 0.751 0.561 0.052 1
Tb6 0.948 0.249 0.439 1
Ce1 0.000 0.000 0.000 1
Ce2 0.500 0.500 0.500 1
O1 0.025 0.677 0.894 1
O2 0.106 0.975 0.323 1
O3 0.179 0.429 0.602 1
O4 0.323 0.106 0.975 1
O5 0.398 0.821 0.571 1
O6 0.429 0.602 0.179 1
O7 0.571 0.398 0.821 1
O8 0.602 0.179 0.429 1
O9 0.677 0.894 0.025 1
O10 0.821 0.571 0.398 1
O11 0.894 0.025 0.677 1
O12 0.975 0.323 0.106 1
```

---

13.
The following is a DFT calculation (PBE) of a relaxed structure of TbCeTeO6.

Geometry as CIF:
```
data_TbCeTeO6
_space_group_name_H-M_alt 'P 1'
_space_group_IT_number 1
_cell_length_a 5.633
_cell_length_b 5.633
_cell_length_c 9.752
_cell_angle_alpha 90.00
_cell_angle_beta 90.00
_cell_angle_gamma 120.00
loop_
_space_group_symop_operation_xyz
'x,y,z'
loop_
_atom_site_label
_atom_site_fract_x
_atom_site_fract_y
_atom_site_fract_z
_atom_site_occupancy
Tb1 0.333 0.667 0.250 1
Tb2 0.667 0.333 0.750 1
Ce1 0.000 0.000 0.000 1
Ce2 0.000 0.000 0.500 1
Te1 0.333 0.667 0.750 1
Te2 0.667 0.333 0.250 1
O1 0.040 0.370 0.636 1
O2 0.040 0.670 0.864 1
O3 0.330 0.370 0.864 1
O4 0.330 0.960 0.636 1
O5 0.370 0.040 0.136 1
O6 0.370 0.330 0.364 1
O7 0.630 0.670 0.636 1
O8 0.630 0.960 0.864 1
O9 0.670 0.040 0.364 1
O10 0.670 0.630 0.136 1
O11 0.960 0.330 0.136 1
O12 0.960 0.630 0.364 1
```

---

14.
The following is a DFT calculation (PBE) of a relaxed structure of TbCeTe2O.

Geometry as CIF:
```
data_TbCeTe2O
_space_group_name_H-M_alt 'P 1'
_space_group_IT_number 1
_cell_length_a 4.214
_cell_length_b 4.214
_cell_length_c 15.529
_cell_angle_alpha 90.00
_cell_angle_beta 90.00
_cell_angle_gamma 90.00
loop_
_space_group_symop_operation_xyz
'x,y,z'
loop_
_atom_site_label
_atom_site_fract_x
_atom_site_fract_y
_atom_site_fract_z
_atom_site_occupancy
Tb1 0.250 0.250 0.124 1
Tb2 0.750 0.750 0.876 1
Ce1 0.250 0.250 0.573 1
Ce2 0.750 0.750 0.427 1
Te1 0.250 0.250 0.315 1
Te2 0.250 0.250 0.911 1
Te3 0.750 0.750 0.089 1
Te4 0.750 0.750 0.685 1
O1 0.250 0.750 0.500 1
O2 0.750 0.250 0.500 1
```

---

15.
The following is a DFT calculation (PBE) of a relaxed structure of Tb2CeUO8.

Geometry as CIF:
```
data_Tb2CeUO8
_space_group_name_H-M_alt 'P 1'
_space_group_IT_number 1
_cell_length_a 3.817
_cell_length_b 7.591
_cell_length_c 5.395
_cell_angle_alpha 90.00
_cell_angle_beta 90.08
_cell_angle_gamma 90.00
loop_
_space_group_symop_operation_xyz
'x,y,z'
loop_
_atom_site_label
_atom_site_fract_x
_atom_site_fract_y
_atom_site_fract_z
_atom_site_occupancy
Tb1 0.000 0.250 0.000 1
Tb2 0.000 0.750 0.000 1
Ce1 0.500 0.000 0.500 1
U1 0.500 0.500 0.500 1
O1 0.000 0.000 0.252 1
O2 0.000 0.000 0.748 1
O3 0.001 0.500 0.269 1
O4 0.499 0.269 0.739 1
O5 0.499 0.731 0.739 1
O6 0.501 0.269 0.261 1
O7 0.501 0.731 0.261 1
O8 0.999 0.500 0.731 1
```

---

16.
The following is a DFT calculation (PBE) of a relaxed structure of Ce4TcO10.

Geometry as CIF:
```
data_Ce4TcO10
_space_group_name_H-M_alt 'P 1'
_space_group_IT_number 1
_cell_length_a 15.572
_cell_length_b 15.572
_cell_length_c 15.572
_cell_angle_alpha 14.00
_cell_angle_beta 14.00
_cell_angle_gamma 14.00
loop_
_space_group_symop_operation_xyz
'x,y,z'
loop_
_atom_site_label
_atom_site_fract_x
_atom_site_fract_y
_atom_site_fract_z
_atom_site_occupancy
Ce1 0.104 0.104 0.104 1
Ce2 0.299 0.299 0.299 1
Ce3 0.701 0.701 0.701 1
Ce4 0.896 0.896 0.896 1
Tc1 0.500 0.500 0.500 1
O1 0.053 0.053 0.053 1
O2 0.157 0.157 0.157 1
O3 0.246 0.246 0.246 1
O4 0.351 0.351 0.351 1
O5 0.456 0.456 0.456 1
O6 0.544 0.544 0.544 1
O7 0.649 0.649 0.649 1
O8 0.754 0.754 0.754 1
O9 0.843 0.843 0.843 1
O10 0.947 0.947 0.947 1
```

---

17.
The following is a DFT calculation (PBE) of a relaxed structure of CeTc2O8.

Geometry as CIF:
```
data_CeTc2O8
_space_group_name_H-M_alt 'P 1'
_space_group_IT_number 1
_cell_length_a 6.228
_cell_length_b 6.228
_cell_length_c 5.932
_cell_angle_alpha 103.02
_cell_angle_beta 103.02
_cell_angle_gamma 58.27
loop_
_space_group_symop_operation_xyz
'x,y,z'
loop_
_atom_site_label
_atom_site_fract_x
_atom_site_fract_y
_atom_site_fract_z
_atom_site_occupancy
Ce1 0.000 0.000 0.000 1
Tc1 0.197 0.197 0.680 1
Tc2 0.803 0.803 0.320 1
O1 0.092 0.662 0.194 1
O2 0.145 0.145 0.367 1
O3 0.338 0.908 0.806 1
O4 0.361 0.361 0.780 1
O5 0.639 0.639 0.220 1
O6 0.662 0.092 0.194 1
O7 0.855 0.855 0.633 1
O8 0.908 0.338 0.806 1
```

---

| no. | formation energy (no corrections) (eV per atom) | E (eV/atom) |
| --- | --- | --- |
| 1 | -3.092 | -8.158 |
| 2 | -1.072 | -6.550 |
| 3 | -3.269 | -8.444 |
| 4 | -3.076 | -8.143 |
| 5 | -2.862 | -7.982 |
| 6 | -3.082 | -8.148 |
| 7 | -3.349 | -8.567 |
| 8 | -1.010 | -5.966 |
| 9 | -3.083 | -8.149 |
| 10 | -2.957 | -8.023 |
| 11 | -2.689 | -7.809 |
| 12 | -3.444 | -8.401 |
| 13 | -2.410 | -7.239 |
| 14 | -2.071 | -6.433 |
| 15 | -3.453 | -8.965 |
| 16 | -2.942 | -8.521 |
| 17 | -1.764 | -7.794 |